1.
The following is a GGA-PBE calculation of TeOsF3 after structural relaxation, from the Alexandria database.

POSCAR file:
```
TeOsF3
1.0
4.593 0.000 0.000
0.000 4.593 0.000
0.000 0.000 4.593
Te Os F
1 1 3
Direct
0.000 0.000 0.000 Te
0.500 0.500 0.500 Os
0.000 0.500 0.000 F
0.000 0.000 0.500 F
0.500 0.000 0.000 F
```

Calculated values
As for the volume: 19.379 A^3/atom. The symmetry is No. 221. The magnetic moment comes out at 4.0 Bohr magnetons per cell. The total energy is -18.591 eV per cell.

2.
The following is a GGA-PBE calculation of BeS after structural relaxation, from the Alexandria database.

POSCAR file:
```
BeS
1.0
-6.584 2.076 6.781
-1.837 -2.665 -0.968
2.881 -3.377 3.831
Be S
6 6
Direct
0.787 0.333 0.649 Be
0.713 0.667 0.149 Be
0.213 0.333 0.649 Be
0.287 0.667 0.149 Be
0.000 0.072 0.445 Be
0.500 0.928 0.945 Be
0.805 0.164 0.294 S
0.695 0.836 0.794 S
0.195 0.164 0.294 S
0.305 0.836 0.794 S
0.000 0.550 0.672 S
0.500 0.450 0.172 S
```

Calculated values
As for the volume: 15.974 A^3/atom. For the energy above the lowest structure with this stoichiometry, the calculation gives 238 meV per atom. The symmetry is No. 31. The magnetic moment comes out at 0.0 Bohr magnetons per cell. The total energy is -57.076 eV per cell.

3.
The following is a GGA-PBE calculation of GaSiAs2 after structural relaxation, from the Alexandria database.

POSCAR file:
```
GaSiAs2
1.0
2.851 0.000 0.000
1.425 2.469 0.000
1.425 0.823 10.798
As Si Ga
2 1 1
Direct
0.077 0.077 0.769 As
0.923 0.923 0.231 As
0.000 0.000 0.000 Si
0.500 0.500 0.500 Ga
```

Calculated values
As for the volume: 18.997 A^3/atom. For the energy above the lowest structure with this stoichiometry, the calculation gives 234 meV per atom. The symmetry is No. 166. The magnetic moment comes out at 0.0 Bohr magnetons per cell. The total energy is -16.771 eV per cell.